Entry 1:
First-principles (PBE-GGA) data for crystalline CeTm2Pb at its relaxed geometry, as listed in Alexandria.

The structure in extended XYZ format:
```
4
Lattice="-2.398 -3.784 -2.997 1.282 -5.191 0.681 -3.544 -3.378 2.254" Properties=species:S:1:pos:R:3 pbc="T T T"
Pb 0.000 0.000 0.000
Tm -1.165 -3.088 -0.015
Tm -3.495 -9.265 -0.046
Ce -2.330 -6.176 -0.031
```

Properties
energy of formation from the pure elements: -2 kJ/mol of atoms
space-group type: Fm-3m, No. 225
E_tot: -4.6667 eV/atom

=====

Entry 2:
First-principles (PBE-GGA) data for crystalline Er2TmIn at its relaxed geometry, as listed in Alexandria.

The structure in extended XYZ format:
```
4
Lattice="3.536 0.000 0.000 0.000 3.536 0.000 0.000 0.000 9.136" Properties=species:S:1:pos:R:3 pbc="T T T"
Tm 1.768 1.768 4.568
In 1.768 1.768 0.000
Er 0.000 0.000 7.032
Er 0.000 0.000 2.105
```

Properties
energy of formation from the pure elements: -22 kJ/mol of atoms
space-group type: P4/mmm, No. 123
E_tot: -4.3135 eV/atom

=====

Entry 3:
First-principles (PBE-GGA) data for crystalline AlInRh2 at its relaxed geometry, as listed in Alexandria.

The structure in extended XYZ format:
```
4
Lattice="4.483 0.000 0.000 2.241 3.882 0.000 2.241 1.294 3.660" Properties=species:S:1:pos:R:3 pbc="T T T"
Rh 0.000 0.000 0.000
Rh 2.241 1.294 0.915
Al 4.483 2.588 1.830
In 6.724 3.882 2.745
```

Properties
energy of formation from the pure elements: -19 kJ/mol of atoms
space-group type: F-43m, No. 216
E_tot: -5.4886 eV/atom

=====

Entry 4:
First-principles (PBE-GGA) data for crystalline YPdOF2 at its relaxed geometry, as listed in Alexandria.

The structure in extended XYZ format:
```
5
Lattice="-2.361 3.599 -0.630 -3.004 -2.339 -2.103 -2.140 -0.728 3.867" Properties=species:S:1:pos:R:3 pbc="T T T"
Y 0.000 0.000 0.000
O -1.070 -0.364 1.933
Pd -3.753 0.266 0.567
F -1.502 -1.170 -1.052
F -1.180 1.799 -0.315
```

Properties
space-group type: P4/mmm, No. 123
E_tot: -6.2553 eV/atom

=====

Entry 5:
First-principles (PBE-GGA) data for crystalline TbHgSb at its relaxed geometry, as listed in Alexandria.

The structure in extended XYZ format:
```
3
Lattice="4.422 0.000 0.000 0.000 4.658 0.000 0.000 -2.329 4.034" Properties=species:S:1:pos:R:3 pbc="T T T"
Sb 3.087 2.329 1.345
Tb 1.340 0.000 2.689
Hg 4.416 0.000 0.000
```

Properties
space-group type: P3m1, No. 156
E_tot: -3.5787 eV/atom

=====

Entry 6:
First-principles (PBE-GGA) data for crystalline Rb5Tl3Hg12 at its relaxed geometry, as listed in Alexandria.

The structure in extended XYZ format:
```
80
Lattice="-10.396 -13.544 1.507 13.981 -2.431 9.613 -8.186 14.102 5.284" Properties=species:S:1:pos:R:3 pbc="T T T"
Tl -3.577 -9.307 5.396
Tl 0.366 -11.912 9.189
Tl 1.471 1.911 11.078
Tl -3.921 1.598 3.560
Tl -9.395 -8.630 3.842
Tl 2.793 -3.073 7.894
Tl -7.394 1.200 8.510
Tl 4.795 6.756 12.563
Tl -0.680 -3.472 12.845
Tl -6.072 -3.785 5.327
Tl -4.967 10.038 7.216
Tl -1.023 7.434 11.009
Rb 1.897 0.921 5.114
Rb 6.991 -1.216 4.806
Rb 0.000 0.000 0.000
Rb -1.426 -3.924 3.629
Rb -9.291 0.279 3.396
Rb 1.793 -7.988 5.560
Rb 6.117 1.772 9.380
Rb -13.212 1.877 6.956
Rb -2.128 -6.389 9.120
Rb -8.290 5.193 5.730
Rb 3.690 -7.067 10.675
Rb -2.300 -0.937 8.202
Rb -5.198 -6.772 0.754
Rb -4.093 7.051 2.642
Rb -2.472 4.516 7.284
Rb 8.611 -3.751 9.449
Rb 2.898 5.835 7.449
Rb -10.717 -3.645 7.025
Rb -3.174 2.051 12.776
Rb -6.498 -2.794 11.290
Hg -6.177 -9.035 3.145
Hg 1.032 -0.177 8.537
Hg -6.833 -9.377 6.028
Hg -4.186 -6.355 4.009
Hg -0.953 -0.530 11.335
Hg -2.665 -11.647 7.563
Hg 3.490 -0.720 10.127
Hg 10.920 -0.889 9.833
Hg 1.525 -0.820 12.960
Hg -0.766 -9.361 7.394
Hg -5.044 -6.546 6.853
Hg 3.366 -12.566 10.762
Hg 3.763 4.413 10.453
Hg 1.909 -4.589 5.079
Hg 9.483 1.497 10.883
Hg -6.809 1.852 5.174
Hg -0.730 1.956 2.727
Hg 4.210 -6.126 7.137
Hg 1.843 -10.141 11.574
Hg 3.722 -2.264 4.672
Hg 2.884 3.970 13.262
Hg -0.132 -3.294 9.443
Hg -2.571 -6.356 12.790
Hg -10.508 1.816 9.476
Hg -4.468 1.421 6.962
Hg -2.030 4.483 3.614
Hg 5.907 -3.689 6.929
Hg -6.444 8.267 4.830
Hg -7.485 -5.843 3.142
Hg -8.323 0.390 11.733
Hg -8.811 4.253 9.267
Hg 2.208 -3.726 11.231
Hg -3.871 -3.829 13.677
Hg -14.084 -3.371 5.522
Hg -8.364 -6.287 5.952
Hg -7.967 10.693 5.643
Hg -6.509 2.715 11.326
Hg -6.125 -1.053 3.445
Hg -3.835 7.488 9.010
Hg 0.444 4.672 9.552
Hg -15.521 -0.985 6.572
Hg -8.091 -1.154 6.278
Hg -0.415 4.482 12.396
Hg -1.935 9.774 8.841
Hg -3.648 -1.344 5.069
Hg 2.233 7.503 10.377
Hg -5.633 -1.697 7.868
Hg 1.577 7.162 13.260
```

Properties
energy of formation from the pure elements: -3 kJ/mol of atoms
space-group type: Ia-3d, No. 230
E_tot: -0.8108 eV/atom

=====

Entry 7:
First-principles (PBE-GGA) data for crystalline CaCr2W at its relaxed geometry, as listed in Alexandria.

The structure in extended XYZ format:
```
4
Lattice="-0.462 -1.574 4.167 -3.132 -3.071 0.899 1.198 -4.209 0.949" Properties=species:S:1:pos:R:3 pbc="T T T"
Cr -0.599 -2.214 1.504
Cr -1.797 -6.641 4.511
Ca 0.000 0.000 0.000
W -1.198 -4.427 3.007
```

Properties
energy of formation from the pure elements: 89 kJ/mol of atoms
space-group type: Fm-3m, No. 225
E_tot: -7.6240 eV/atom

=====

Entry 8:
First-principles (PBE-GGA) data for crystalline YTm5Al4 at its relaxed geometry, as listed in Alexandria.

The structure in extended XYZ format:
```
10
Lattice="3.531 0.000 0.000 0.000 3.531 0.000 0.000 0.000 19.463" Properties=species:S:1:pos:R:3 pbc="T T T"
Y 0.000 0.000 0.000
Tm 1.765 1.765 2.519
Tm 1.765 1.765 6.143
Tm 1.765 1.765 9.731
Tm 1.765 1.765 13.320
Tm 1.765 1.765 16.944
Al 0.000 0.000 4.331
Al 0.000 0.000 7.936
Al 0.000 0.000 11.527
Al 0.000 0.000 15.132
```

Properties
energy of formation from the pure elements: -30 kJ/mol of atoms
space-group type: P4/mmm, No. 123
E_tot: -4.6933 eV/atom

=====

Entry 9:
First-principles (PBE-GGA) data for crystalline In2SeBr at its relaxed geometry, as listed in Alexandria.

The structure in extended XYZ format:
```
4
Lattice="-2.553 -0.294 -2.758 -2.438 -1.557 2.417 -2.696 6.945 1.755" Properties=species:S:1:pos:R:3 pbc="T T T"
Br -4.517 4.283 1.146
In -0.078 0.201 0.051
In -1.270 3.271 0.827
Se -3.170 0.810 0.269
```

Properties
space-group type: P4/mmm, No. 123
E_tot: -2.9968 eV/atom

=====

Entry 10:
First-principles (PBE-GGA) data for crystalline Ca2YCo at its relaxed geometry, as listed in Alexandria.

The structure in extended XYZ format:
```
4
Lattice="8.495 0.562 -1.327 7.592 3.852 -1.327 1.675 0.460 3.938" Properties=species:S:1:pos:R:3 pbc="T T T"
Y 4.441 1.218 0.321
Ca 2.969 0.815 3.345
Ca 7.587 2.082 1.233
Co 13.322 3.655 0.962
```

Properties
energy of formation from the pure elements: 14 kJ/mol of atoms
space-group type: Immm, No. 71
E_tot: -4.2460 eV/atom

=====

Entry 11:
First-principles (PBE-GGA) data for crystalline CsZn3Pt at its relaxed geometry, as listed in Alexandria.

The structure in extended XYZ format:
```
5
Lattice="-3.619 4.498 -3.763 -5.663 -3.830 0.869 -1.524 3.549 5.707" Properties=species:S:1:pos:R:3 pbc="T T T"
Cs 0.000 0.000 0.000
Zn -2.831 -1.915 0.434
Zn -0.762 1.774 2.854
Zn -1.810 2.249 -1.882
Pt -5.403 2.108 1.406
```

Properties
energy of formation from the pure elements: 135 kJ/mol of atoms
space-group type: Pm-3m, No. 221
E_tot: -0.7476 eV/atom

=====

Entry 12:
First-principles (PBE-GGA) data for crystalline MgMnN3 at its relaxed geometry, as listed in Alexandria.

The structure in extended XYZ format:
```
5
Lattice="-1.780 2.193 -2.349 0.532 -2.447 -2.687 -3.169 -1.642 0.868" Properties=species:S:1:pos:R:3 pbc="T T T"
Mg -2.208 -0.948 -2.084
Mn 0.000 0.000 0.000
N 0.266 -1.223 -1.344
N -1.584 -0.821 0.434
N -0.890 1.096 -1.174
```

Properties
space-group type: Pm-3m, No. 221
E_tot: -6.6158 eV/atom

=====

Entry 13:
First-principles (PBE-GGA) data for crystalline Pm5Y2ErSc at its relaxed geometry, as listed in Alexandria.

The structure in extended XYZ format:
```
18
Lattice="5.358 0.000 0.000 -2.679 10.955 0.000 0.000 0.000 10.167" Properties=species:S:1:pos:R:3 pbc="T T T"
Pm 0.000 8.199 0.082
Pm 2.679 4.847 8.348
Pm 2.679 0.002 7.707
Pm 0.000 6.111 7.074
Pm 0.000 0.017 5.166
Pm 2.679 2.756 5.166
Pm 0.000 6.107 3.265
Pm 0.000 10.953 2.624
Pm 2.679 4.844 1.990
Pm 2.679 10.938 0.082
Y 2.679 8.415 7.696
Y 0.000 2.543 7.721
Y 0.000 2.539 2.612
Y 2.679 8.412 2.637
Er 2.679 2.218 0.084
Er 0.000 8.736 5.168
Sc 2.679 6.242 5.169
Sc 0.000 4.713 0.086
```

Properties
energy of formation from the pure elements: 12 kJ/mol of atoms
space-group type: Cmcm, No. 63
E_tot: -5.1619 eV/atom

=====

Entry 14:
First-principles (PBE-GGA) data for crystalline PaSi2TcPt at its relaxed geometry, as listed in Alexandria.

The structure in extended XYZ format:
```
5
Lattice="-2.864 -0.325 -2.962 -0.308 -4.054 0.742 -1.984 3.075 4.464" Properties=species:S:1:pos:R:3 pbc="T T T"
Pa 0.000 0.000 0.000
Si -2.441 -1.977 -0.306
Si -2.714 0.673 2.550
Tc -3.217 0.280 0.196
Pt -1.939 -1.584 2.048
```

Properties
space-group type: I-4m2, No. 119
E_tot: -8.1738 eV/atom

=====

Entry 15:
First-principles (PBE-GGA) data for crystalline KPuH6Pt2 at its relaxed geometry, as listed in Alexandria.

The structure in extended XYZ format:
```
20
Lattice="6.408 -0.383 -0.315 -1.165 6.313 -0.315 -1.880 -2.127 6.658" Properties=species:S:1:pos:R:3 pbc="T T T"
K -0.326 4.623 1.349
K 3.688 -0.821 4.678
Pu 2.929 1.746 1.349
Pu 0.434 2.057 4.678
H 5.149 1.890 0.499
H 3.058 -0.475 2.200
H -1.786 1.913 5.529
H 0.305 4.278 3.828
H -0.713 -1.024 6.454
H 3.352 3.572 2.902
H 4.075 4.827 -0.427
H 0.011 0.231 3.125
H 0.760 2.332 2.288
H 2.082 3.827 0.410
H 2.603 1.471 3.739
H 1.281 -0.024 5.617
Pt 0.405 -1.459 5.302
Pt 3.920 2.516 4.055
Pt 2.957 5.262 0.725
Pt -0.557 1.287 1.973
```

Properties
space-group type: C2/c, No. 15
E_tot: -5.0751 eV/atom

=====

Entry 16:
First-principles (PBE-GGA) data for crystalline Ba2Mg2Cl at its relaxed geometry, as listed in Alexandria.

The structure in extended XYZ format:
```
10
Lattice="8.647 0.000 0.000 0.000 8.647 0.000 0.000 0.000 5.850" Properties=species:S:1:pos:R:3 pbc="T T T"
Mg 1.033 5.357 2.925
Mg 5.357 7.614 2.925
Mg 7.614 3.290 2.925
Mg 3.290 1.033 2.925
Ba 2.768 7.091 0.000
Ba 7.091 5.879 0.000
Ba 5.879 1.556 0.000
Ba 1.556 2.768 0.000
Cl 0.000 0.000 0.000
Cl 4.324 4.324 0.000
```

Properties
space-group type: P4/mbm, No. 127
E_tot: -2.3167 eV/atom

=====

Entry 17:
First-principles (PBE-GGA) data for crystalline Nd2ErPu at its relaxed geometry, as listed in Alexandria.

The structure in extended XYZ format:
```
4
Lattice="5.680 0.000 0.000 2.840 4.919 0.000 2.840 1.640 4.638" Properties=species:S:1:pos:R:3 pbc="T T T"
Er 5.680 3.279 2.319
Nd 2.840 1.640 1.159
Nd 8.520 4.919 3.478
Pu 0.000 0.000 0.000
```

Properties
energy of formation from the pure elements: 21 kJ/mol of atoms
space-group type: Fm-3m, No. 225
E_tot: -6.8937 eV/atom

=====

Entry 18:
First-principles (PBE-GGA) data for crystalline La2Zn2Br at its relaxed geometry, as listed in Alexandria.

The structure in extended XYZ format:
```
10
Lattice="8.511 0.000 0.000 0.000 8.511 0.000 0.000 0.000 3.934" Properties=species:S:1:pos:R:3 pbc="T T T"
Zn 0.901 5.157 1.967
Zn 5.157 7.610 1.967
Zn 7.610 3.355 1.967
Zn 3.355 0.901 1.967
Br 0.000 0.000 0.000
Br 4.256 4.256 0.000
La 2.657 6.913 0.000
La 6.913 5.854 0.000
La 5.854 1.598 0.000
La 1.598 2.657 0.000
```

Properties
space-group type: P4/mbm, No. 127
E_tot: -3.3684 eV/atom

=====

Entry 19:
First-principles (PBE-GGA) data for crystalline CsMgIn2Rh at its relaxed geometry, as listed in Alexandria.

The structure in extended XYZ format:
```
5
Lattice="5.275 0.000 0.000 0.000 5.275 0.000 0.000 0.000 5.295" Properties=species:S:1:pos:R:3 pbc="T T T"
Cs 2.637 2.637 2.648
Mg 0.000 0.000 2.648
Rh 0.000 0.000 0.000
In 0.000 2.637 0.000
In 2.637 0.000 0.000
```

Properties
energy of formation from the pure elements: -21 kJ/mol of atoms
space-group type: P4/mmm, No. 123
E_tot: -3.2689 eV/atom

=====

Entry 20:
First-principles (PBE-GGA) data for crystalline NaAlZn at its relaxed geometry, as listed in Alexandria.

The structure in extended XYZ format:
```
3
Lattice="3.230 0.000 0.000 0.000 4.657 0.000 0.000 -2.328 4.033" Properties=species:S:1:pos:R:3 pbc="T T T"
Na 2.153 0.000 2.689
Zn 0.539 0.000 0.000
Al 0.538 2.328 1.344
```

Properties
energy of formation from the pure elements: 8 kJ/mol of atoms
space-group type: P-6m2, No. 187
E_tot: -2.0264 eV/atom